Record 1
Ce2TmPa after structural relaxation. Source: the Alexandria database, functional GGA-PBE.

Unit cell a=11.585 b=11.585 c=11.585 alpha=16.44 beta=16.44 gamma=16.44
Element x y z (fractional)
Ce: 0.000 0.000 0.000
Ce: 0.162 0.162 0.162
Tm: 0.582 0.582 0.582
Pa: 0.414 0.414 0.414

size of the total moment	0.0	μB/f.u.
space-group type	No. 160
DFT formation energy	0.103	eV per atom
distance to the lowest polymorph of the same formula	0.025	eV per atom
total energy	-6.3557	eV per atom

Record 2
ZnReSi2 after structural relaxation. Source: the Alexandria database, functional GGA-PBE.

Unit cell a=4.725 b=4.725 c=4.204 alpha=95.43 beta=95.43 gamma=37.63
Element x y z (fractional)
Zn: 0.000 0.000 0.000
Re: 0.744 0.744 0.307
Si: 0.255 0.255 0.810
Si: 0.469 0.469 0.472

size of the total moment	0.0	μB/f.u.
space-group type	No. 8
raw formation energy	0.153	eV per atom
total energy	-5.9894	eV per atom

Record 3
SrRh4W after structural relaxation. Source: the Alexandria database, functional GGA-PBE.

Unit cell a=5.258 b=5.258 c=5.258 alpha=60.00 beta=60.00 gamma=60.00
Element x y z (fractional)
Sr: 0.000 0.000 0.000
Rh: 0.375 0.375 0.375
Rh: 0.375 0.375 0.875
Rh: 0.375 0.875 0.375
Rh: 0.875 0.375 0.375
W: 0.750 0.750 0.750

size of the total moment	0.0	μB/f.u.
space-group type	No. 216
DFT formation energy	0.281	eV per atom
total energy	-7.0590	eV per atom

Record 4
Mg2ScTlN after structural relaxation. Source: the Alexandria database, functional GGA-PBE.

Unit cell a=4.447 b=4.447 c=4.394 alpha=90.00 beta=90.00 gamma=90.00
Element x y z (fractional)
Mg: 0.000 0.500 0.000
Mg: 0.500 0.000 0.000
Sc: 0.000 0.000 0.500
Tl: 0.500 0.500 0.500
N: 0.000 0.000 0.000

size of the total moment	0.0	μB/f.u.
space-group type	No. 123
raw formation energy	-0.602	eV per atom
total energy	-4.6444	eV per atom

Record 5
SmZn2Cu4 after structural relaxation. Source: the Alexandria database, functional GGA-PBE.

Unit cell a=5.770 b=5.770 c=5.770 alpha=101.83 beta=101.83 gamma=126.15
Element x y z (fractional)
Sm: 0.000 0.000 0.000
Zn: 0.250 0.750 0.500
Zn: 0.750 0.250 0.500
Cu: 0.274 0.500 0.774
Cu: 0.500 0.274 0.774
Cu: 0.500 0.726 0.226
Cu: 0.726 0.500 0.226

size of the total moment	0.0	μB/f.u.
space-group type	No. 139
DFT formation energy	0.242	eV per atom
distance to the lowest polymorph of the same formula	0.463	eV per atom
total energy	-3.1371	eV per atom

Record 6
Ho2ErGa after structural relaxation. Source: the Alexandria database, functional GGA-PBE.

Unit cell a=4.695 b=4.695 c=4.691 alpha=90.00 beta=90.00 gamma=90.00
Element x y z (fractional)
Ho: 0.000 0.500 0.000
Ho: 0.500 0.000 0.000
Er: 0.000 0.000 0.500
Ga: 0.500 0.500 0.500

size of the total moment	0.0	μB/f.u.
space-group type	No. 123
DFT formation energy	-0.241	eV per atom
distance to the lowest polymorph of the same formula	0.040	eV per atom
total energy	-4.4273	eV per atom